# AlRu2Pt

A geometry-optimized AlRu2Pt structure (PBE-GGA, Alexandria).

Lattice parameters (Å, degrees): 2.7894 2.7894 25.7266 90.00 90.00 120.00
Space group R3m (No. 160, hexagonal axes)
Asymmetric unit:
Al1 0.0000 0.0000 0.0000 (multiplicity 3)
Ru1 0.0000 0.0000 0.4941 (multiplicity 3)
Ru2 0.0000 0.0000 0.7474 (multiplicity 3)
Pt1 0.0000 0.0000 0.2528 (multiplicity 3)

Calculated values
- Energy of formation: -0.249 eV/atom

***

# AlRu2Pt

A geometry-optimized AlRu2Pt structure (PBE-GGA, Alexandria).

Lattice parameters (Å, degrees): 2.8548 4.6565 8.8090 90.00 90.00 90.00
Space group Cmmm (No. 65)
Asymmetric unit:
Al1 0.0000 0.0000 0.0000 (multiplicity 2)
Ru1 0.0000 0.5000 0.2339 (multiplicity 4)
Pt1 0.0000 0.0000 0.5000 (multiplicity 2)

Calculated values
- Energy of formation: 0.037 eV/atom

***

# Al8RuPt2

A geometry-optimized Al8RuPt2 structure (PBE-GGA, Alexandria).

Lattice parameters (Å, degrees): 3.9930 7.1624 11.8666 90.00 90.00 90.00
Space group Immm (No. 71)
Asymmetric unit:
Al1 0.0000 0.0000 0.1480 (multiplicity 4)
Al2 0.0000 0.2316 0.3407 (multiplicity 8)
Al3 0.0000 0.2936 0.0000 (multiplicity 4)
Ru1 0.0000 0.5000 0.5000 (multiplicity 2)
Pt1 0.0000 0.5000 0.1823 (multiplicity 4)

Calculated values
- Energy of formation: -0.599 eV/atom

***

# Al2RuPt

A geometry-optimized Al2RuPt structure (PBE-GGA, Alexandria).

Lattice parameters (Å, degrees): 3.1386 4.0661 9.0576 90.00 90.00 90.00
Space group Imm2 (No. 44)
Asymmetric unit:
Al1 0.0000 0.0000 0.0000 (multiplicity 2)
Al2 0.0000 0.5000 0.2339 (multiplicity 2)
Ru1 0.0000 0.0000 0.4995 (multiplicity 2)
Pt1 0.0000 0.5000 0.7375 (multiplicity 2)

Calculated values
- Energy of formation: -0.660 eV/atom

***

# Al2RuPt

A geometry-optimized Al2RuPt structure (PBE-GGA, Alexandria).

Lattice parameters (Å, degrees): 9.3115 2.9647 4.3431 90.00 106.23 90.00
Space group Cm (No. 8)
Asymmetric unit:
Al1 0.0000 0.0000 0.0000 (multiplicity 2)
Al2 0.2420 0.0000 0.6215 (multiplicity 2)
Ru1 0.2377 0.5000 0.1100 (multiplicity 2)
Pt1 0.4994 0.0000 0.5007 (multiplicity 2)

Calculated values
- Energy of formation: -0.731 eV/atom

***

# Al2RuPt

A geometry-optimized Al2RuPt structure (PBE-GGA, Alexandria).

Lattice parameters (Å, degrees): 4.2136 4.2136 3.1335 90.00 90.00 90.00
Space group P4/mmm (No. 123)
Asymmetric unit:
Al1 0.0000 0.5000 0.0000 (multiplicity 2)
Ru1 0.0000 0.0000 0.5000 (multiplicity 1)
Pt1 0.5000 0.5000 0.5000 (multiplicity 1)

Calculated values
- Energy of formation: -0.943 eV/atom

***

# Al2Ru2Pt

A geometry-optimized Al2Ru2Pt structure (PBE-GGA, Alexandria).

Lattice parameters (Å, degrees): 6.8641 6.8641 3.0419 90.00 90.00 90.00
Space group P4/mbm (No. 127)
Asymmetric unit:
Al1 0.1370 0.3630 0.0000 (multiplicity 4)
Ru1 0.1620 0.6620 0.5000 (multiplicity 4)
Pt1 0.0000 0.0000 0.0000 (multiplicity 2)

Calculated values
- Energy of formation: -0.385 eV/atom

***

# AlRuPt

A geometry-optimized AlRuPt structure (PBE-GGA, Alexandria).

Lattice parameters (Å, degrees): 2.8125 2.8125 6.3787 90.00 90.00 120.00
Space group P3m1 (No. 156)
Asymmetric unit:
Al1 0.0000 0.0000 0.0000 (multiplicity 1)
Ru1 0.3333 0.6667 0.6881 (multiplicity 1)
Pt1 0.6667 0.3333 0.3206 (multiplicity 1)

Calculated values
- Energy of formation: -0.390 eV/atom

***

# AlRu2Pt

A geometry-optimized AlRu2Pt structure (PBE-GGA, Alexandria).

Lattice parameters (Å, degrees): 2.7976 2.7976 7.3094 90.00 90.00 90.00
Space group P4mm (No. 99)
Asymmetric unit:
Al1 0.0000 0.0000 0.0000 (multiplicity 1)
Ru1 0.0000 0.0000 0.5222 (multiplicity 1)
Ru2 0.5000 0.5000 0.7552 (multiplicity 1)
Pt1 0.5000 0.5000 0.2372 (multiplicity 1)

Calculated values
- Energy of formation: -0.382 eV/atom

***

# Al2SbRuPt

A geometry-optimized Al2SbRuPt structure (PBE-GGA, Alexandria).

Lattice parameters (Å, degrees): 4.6544 4.6544 4.9121 90.00 90.00 90.00
Space group P4/mmm (No. 123)
Asymmetric unit:
Al1 0.0000 0.5000 0.0000 (multiplicity 2)
Sb1 0.0000 0.0000 0.5000 (multiplicity 1)
Ru1 0.0000 0.0000 0.0000 (multiplicity 1)
Pt1 0.5000 0.5000 0.5000 (multiplicity 1)

Calculated values
- Formation energy (no corrections): 0.226 eV/atom

***

# Al2SbRuPt

A geometry-optimized Al2SbRuPt structure (PBE-GGA, Alexandria).

Lattice parameters (Å, degrees): 4.6492 4.6492 5.1131 90.00 90.00 90.00
Space group P4/mmm (No. 123)
Asymmetric unit:
Al1 0.0000 0.5000 0.0000 (multiplicity 2)
Sb1 0.0000 0.0000 0.5000 (multiplicity 1)
Ru1 0.5000 0.5000 0.5000 (multiplicity 1)
Pt1 0.5000 0.5000 0.0000 (multiplicity 1)

Calculated values
- Formation energy (no corrections): 0.367 eV/atom

***

# ScAlRuPt

A geometry-optimized ScAlRuPt structure (PBE-GGA, Alexandria).

Lattice parameters (Å, degrees): 3.2875 4.3033 4.3670 90.00 90.00 90.00
Space group Pmmm (No. 47)
Asymmetric unit:
Sc1 0.0000 0.0000 0.0000 (multiplicity 1)
Al1 0.0000 0.5000 0.5000 (multiplicity 1)
Ru1 0.5000 0.5000 0.0000 (multiplicity 1)
Pt1 0.5000 0.0000 0.5000 (multiplicity 1)

Calculated values
- Energy of formation: -0.963 eV/atom

***

# SmAl4Ru2Pt

A geometry-optimized SmAl4Ru2Pt structure (PBE-GGA, Alexandria).

Lattice parameters (Å, degrees): 4.2465 4.2465 26.2813 90.00 90.00 120.00
Space group R-3m (No. 166, hexagonal axes)
Asymmetric unit:
Sm1 0.0000 0.0000 0.0000 (multiplicity 3)
Al1 0.0000 0.0000 0.1296 (multiplicity 6)
Al2 0.0000 0.0000 0.4038 (multiplicity 6)
Ru1 0.0000 0.0000 0.2333 (multiplicity 6)
Pt1 0.0000 0.0000 0.5000 (multiplicity 3)

Calculated values
- Energy of formation: -0.676 eV/atom

***

# AlTc2RuPt

A geometry-optimized AlTc2RuPt structure (PBE-GGA, Alexandria).

Lattice parameters (Å, degrees): 4.7253 4.7253 4.8328 90.00 90.00 90.00
Space group P4/mmm (No. 123)
Asymmetric unit:
Al1 0.0000 0.0000 0.0000 (multiplicity 1)
Tc1 0.0000 0.5000 0.5000 (multiplicity 2)
Ru1 0.5000 0.5000 0.0000 (multiplicity 1)
Pt1 0.5000 0.5000 0.5000 (multiplicity 1)

Calculated values
- Energy of formation: 1.802 eV/atom

***

# Th2Al4RuPt3

A geometry-optimized Th2Al4RuPt3 structure (PBE-GGA, Alexandria).

Lattice parameters (Å, degrees): 4.3100 4.3100 10.2199 90.00 90.00 90.00
Space group P-4m2 (No. 115)
Asymmetric unit:
Th1 0.0000 0.5000 0.2412 (multiplicity 2)
Al1 0.0000 0.0000 0.5000 (multiplicity 1)
Al2 0.0000 0.5000 0.8757 (multiplicity 2)
Al3 0.5000 0.5000 0.5000 (multiplicity 1)
Ru1 0.5000 0.5000 0.0000 (multiplicity 1)
Pt1 0.0000 0.0000 0.0000 (multiplicity 1)
Pt2 0.0000 0.5000 0.6339 (multiplicity 2)

Calculated values
- Energy of formation: -1.027 eV/atom

***

# TmAlRuPt

A geometry-optimized TmAlRuPt structure (PBE-GGA, Alexandria).

Lattice parameters (Å, degrees): 6.4419 6.4419 6.4419 90.00 90.00 90.00
Space group F-43m (No. 216)
Asymmetric unit:
Tm1 0.0000 0.0000 0.0000 (multiplicity 4)
Al1 0.0000 0.0000 0.5000 (multiplicity 4)
Ru1 0.2500 0.2500 0.2500 (multiplicity 4)
Pt1 0.2500 0.2500 0.7500 (multiplicity 4)

Calculated values
- Energy of formation: -0.818 eV/atom

***

# Y2Al4RuPt3

A geometry-optimized Y2Al4RuPt3 structure (PBE-GGA, Alexandria).

Lattice parameters (Å, degrees): 4.2806 4.2806 10.0658 90.00 90.00 90.00
Space group P-4m2 (No. 115)
Asymmetric unit:
Y1 0.0000 0.5000 0.2366 (multiplicity 2)
Al1 0.0000 0.0000 0.5000 (multiplicity 1)
Al2 0.0000 0.5000 0.8769 (multiplicity 2)
Al3 0.5000 0.5000 0.5000 (multiplicity 1)
Ru1 0.5000 0.5000 0.0000 (multiplicity 1)
Pt1 0.0000 0.0000 0.0000 (multiplicity 1)
Pt2 0.0000 0.5000 0.6332 (multiplicity 2)

Calculated values
- Energy of formation: -1.029 eV/atom

***

# AlPt2S

A geometry-optimized AlPt2S structure (PBE-GGA, Alexandria).

Lattice parameters (Å, degrees): 4.1056 4.1056 15.9742 90.00 90.00 90.00
Space group I-42d (No. 122)
Asymmetric unit:
Al1 0.0000 0.0000 0.0000 (multiplicity 4)
Pt1 0.2386 0.2500 0.6250 (multiplicity 8)
S1 0.0000 0.0000 0.5000 (multiplicity 4)

Calculated values
- Formation energy (no corrections): -0.314 eV/atom

***

# AlPt3S

A geometry-optimized AlPt3S structure (PBE-GGA, Alexandria).

Lattice parameters (Å, degrees): 4.5878 4.5878 4.5878 90.00 90.00 90.00
Space group Pm-3m (No. 221)
Asymmetric unit:
Al1 0.0000 0.0000 0.0000 (multiplicity 1)
Pt1 0.0000 0.0000 0.5000 (multiplicity 3)
S1 0.5000 0.5000 0.5000 (multiplicity 1)

Calculated values
- Formation energy (no corrections): 0.722 eV/atom

***

# AlPtS

A geometry-optimized AlPtS structure (PBE-GGA, Alexandria).

Lattice parameters (Å, degrees): 6.0729 6.1074 6.1976 90.00 114.13 90.00
Space group P2_1 (No. 4)
Asymmetric unit:
Al1 0.1487 0.0000 0.1235 (multiplicity 2)
Al2 0.3357 0.5051 0.4518 (multiplicity 2)
Pt1 0.2669 0.1301 0.5521 (multiplicity 2)
Pt2 0.2896 0.6322 0.0536 (multiplicity 2)
S1 0.1449 0.7344 0.6413 (multiplicity 2)
S2 0.3262 0.2426 0.9501 (multiplicity 2)

Calculated values
- Formation energy (no corrections): -0.655 eV/atom

***

# AlPtS4

A geometry-optimized AlPtS4 structure (PBE-GGA, Alexandria).

Lattice parameters (Å, degrees): 5.0564 3.5782 6.1148 90.00 93.21 90.00
Space group P2/m (No. 10)
Asymmetric unit:
Al1 0.0000 0.0000 0.0000 (multiplicity 1)
Pt1 0.0000 0.5000 0.5000 (multiplicity 1)
S1 0.2492 0.0000 0.6745 (multiplicity 2)
S2 0.2514 0.5000 0.1807 (multiplicity 2)

Calculated values
- Formation energy (no corrections): -0.512 eV/atom

***

# AlPt3S

A geometry-optimized AlPt3S structure (PBE-GGA, Alexandria).

Lattice parameters (Å, degrees): 4.5308 4.5308 4.5308 90.00 90.00 90.00
Space group Pm-3m (No. 221)
Asymmetric unit:
Al1 0.0000 0.0000 0.0000 (multiplicity 1)
Pt1 0.0000 0.5000 0.5000 (multiplicity 3)
S1 0.5000 0.5000 0.5000 (multiplicity 1)

Calculated values
- Formation energy (no corrections): 0.323 eV/atom

***

# AlPtS2

A geometry-optimized AlPtS2 structure (PBE-GGA, Alexandria).

Lattice parameters (Å, degrees): 5.4425 5.4425 10.6439 90.00 90.00 90.00
Space group I-42d (No. 122)
Asymmetric unit:
Al1 0.0000 0.0000 0.0000 (multiplicity 4)
Pt1 0.0000 0.0000 0.5000 (multiplicity 4)
S1 0.2345 0.2500 0.1250 (multiplicity 8)

Calculated values
- Formation energy (no corrections): -0.458 eV/atom

***

# AlPt2S

A geometry-optimized AlPt2S structure (PBE-GGA, Alexandria).

Lattice parameters (Å, degrees): 6.2474 6.2474 6.2474 90.00 90.00 90.00
Space group Fm-3m (No. 225)
Asymmetric unit:
Al1 0.0000 0.0000 0.0000 (multiplicity 4)
Pt1 0.2500 0.2500 0.2500 (multiplicity 8)
S1 0.0000 0.0000 0.5000 (multiplicity 4)

Calculated values
- Formation energy (no corrections): -0.142 eV/atom

***

# AlSbPtS2

A geometry-optimized AlSbPtS2 structure (PBE-GGA, Alexandria).

Lattice parameters (Å, degrees): 4.9578 4.9578 5.1801 90.00 90.00 90.00
Space group P4/mmm (No. 123)
Asymmetric unit:
Al1 0.0000 0.0000 0.0000 (multiplicity 1)
Sb1 0.0000 0.0000 0.5000 (multiplicity 1)
Pt1 0.5000 0.5000 0.0000 (multiplicity 1)
S1 0.0000 0.5000 0.5000 (multiplicity 2)

Calculated values
- Formation energy (no corrections): 1.029 eV/atom

***

# AlSbPt2S

A geometry-optimized AlSbPt2S structure (PBE-GGA, Alexandria).

Lattice parameters (Å, degrees): 4.9677 4.9677 5.2415 90.00 90.00 90.00
Space group P4/mmm (No. 123)
Asymmetric unit:
Al1 0.0000 0.0000 0.0000 (multiplicity 1)
Sb1 0.0000 0.0000 0.5000 (multiplicity 1)
Pt1 0.0000 0.5000 0.5000 (multiplicity 2)
S1 0.5000 0.5000 0.0000 (multiplicity 1)

Calculated values
- Formation energy (no corrections): 1.005 eV/atom

***

# SrAlPtS2

A geometry-optimized SrAlPtS2 structure (PBE-GGA, Alexandria).

Lattice parameters (Å, degrees): 5.1493 5.1493 4.5416 90.00 90.00 90.00
Space group P4/mmm (No. 123)
Asymmetric unit:
Sr1 0.0000 0.0000 0.0000 (multiplicity 1)
Al1 0.5000 0.5000 0.0000 (multiplicity 1)
Pt1 0.5000 0.5000 0.5000 (multiplicity 1)
S1 0.0000 0.5000 0.5000 (multiplicity 2)

Calculated values
- Formation energy (no corrections): -0.535 eV/atom

***

Listing magnetic moment for the structures above in their given order: 0.0, 0.0, 0.0, 0.0, 0.0, 0.0, 0.0, 0.0, 0.0, 0.0, 1.9, 0.0, 0.0, 4.1, 0.0, 0.0, 0.0, 0.0, 0.0, 0.0, 0.0, 0.0, 0.0, 0.0, 0.5, 0.0, 0.0 μB per formula unit.
Listing D(E_F) for the structures above in their given order: 5.174, 6.116, 3.598, 3.499, 3.391, 0.996, 4.713, 3.171, 2.612, 1.824, 2.753, 0.785, 5.095, 7.619, 7.541, 0.774, 4.367, 1.366, 5.576, 0.027, 2.833, 6.270, 4.426, 4.136, 5.151, 6.848, 2.019 states/eV/f.u..